Model w:
Below is TaBeNiSb after structural relaxation, with properties calculated at the PBE level.

The structure belongs to space group F-43m (No. 216); the cell edges are 6.217, 6.217 and 6.217 Å and the angles 90.00°, 90.00° and 90.00°. The inequivalent atoms are Ta at (0.000, 0.000, 0.000), Be at (0.250, 0.250, 0.250), Ni at (0.250, 0.250, 0.750) and Sb at (0.000, 0.000, 0.500).

For the total magnetization, the calculation gives 0.95 μB per cell. The mass density comes out at 10.24 g/cm³.

Model x:
Below is TaBeNiSb after structural relaxation, with properties calculated at the PBE level.

The structure belongs to space group F-43m (No. 216); the cell edges are 6.258, 6.258 and 6.258 Å and the angles 90.00°, 90.00° and 90.00°. The inequivalent atoms are Ta at (0.000, 0.000, 0.000), Be at (0.250, 0.250, 0.750), Ni at (0.000, 0.000, 0.500) and Sb at (0.250, 0.250, 0.250).

For the total magnetization, the calculation gives 0.17 μB per cell. The mass density comes out at 10.04 g/cm³.

Relative calculated energies, zero for the most stable structure, unit meV per atom: model w 47; model x 0.

Model w:
Below is BeTcNiSb after structural relaxation, with properties calculated at the PBE level.

The structure belongs to space group F-43m (No. 216); the cell edges are 6.016, 6.016 and 6.016 Å and the angles 90.00°, 90.00° and 90.00°. The inequivalent atoms are Be at (0.000, 0.000, 0.000), Tc at (0.250, 0.250, 0.750), Ni at (0.000, 0.000, 0.500) and Sb at (0.250, 0.250, 0.250).

For the total magnetization, the calculation gives 0.00 μB per cell. The mass density comes out at 8.77 g/cm³.

Model x:
Below is BeTcNiSb after structural relaxation, with properties calculated at the PBE level.

The structure belongs to space group F-43m (No. 216); the cell edges are 6.029, 6.029 and 6.029 Å and the angles 90.00°, 90.00° and 90.00°. The inequivalent atoms are Be at (0.000, 0.000, 0.000), Tc at (0.250, 0.250, 0.250), Ni at (0.250, 0.250, 0.750) and Sb at (0.000, 0.000, 0.500).

For the total magnetization, the calculation gives 0.26 μB per cell. The mass density comes out at 8.71 g/cm³.

Relative calculated energies, zero for the most stable structure, unit meV per atom: model w 281; model x 0.

Model w:
Below is ScBeSiNi after structural relaxation, with properties calculated at the PBE level.

The structure belongs to space group F-43m (No. 216); the cell edges are 5.867, 5.867 and 5.867 Å and the angles 90.00°, 90.00° and 90.00°. The inequivalent atoms are Sc at (0.000, 0.000, 0.000), Be at (0.250, 0.250, 0.750), Si at (0.000, 0.000, 0.500) and Ni at (0.250, 0.250, 0.250).

For the total magnetization, the calculation gives 0.00 μB per cell. The mass density comes out at 4.63 g/cm³.

Model x:
Below is ScBeSiNi after structural relaxation, with properties calculated at the PBE level.

The structure belongs to space group F-43m (No. 216); the cell edges are 5.926, 5.926 and 5.926 Å and the angles 90.00°, 90.00° and 90.00°. The inequivalent atoms are Sc at (0.000, 0.000, 0.000), Be at (0.250, 0.250, 0.750), Si at (0.250, 0.250, 0.250) and Ni at (0.000, 0.000, 0.500).

For the total magnetization, the calculation gives 0.07 μB per cell. The mass density comes out at 4.49 g/cm³.

Relative calculated energies, zero for the most stable structure, unit meV per atom: model w 0; model x 90.

Model w:
Below is ScBeZnNi after structural relaxation, with properties calculated at the PBE level.

The structure belongs to space group F-43m (No. 216); the cell edges are 6.004, 6.004 and 6.004 Å and the angles 90.00°, 90.00° and 90.00°. The inequivalent atoms are Sc at (0.000, 0.000, 0.000), Be at (0.250, 0.250, 0.750), Zn at (0.000, 0.000, 0.500) and Ni at (0.250, 0.250, 0.250).

For the total magnetization, the calculation gives 0.00 μB per cell. The mass density comes out at 5.47 g/cm³.

Model x:
Below is ScBeZnNi after structural relaxation, with properties calculated at the PBE level.

The structure belongs to space group F-43m (No. 216); the cell edges are 5.974, 5.974 and 5.974 Å and the angles 90.00°, 90.00° and 90.00°. The inequivalent atoms are Sc at (0.000, 0.000, 0.000), Be at (0.250, 0.250, 0.750), Zn at (0.250, 0.250, 0.250) and Ni at (0.000, 0.000, 0.500).

For the total magnetization, the calculation gives 0.04 μB per cell. The mass density comes out at 5.55 g/cm³.

Model y:
Below is ScBeZnNi after structural relaxation, with properties calculated at the PBE level.

The structure belongs to space group F-43m (No. 216); the cell edges are 6.007, 6.007 and 6.007 Å and the angles 90.00°, 90.00° and 90.00°. The inequivalent atoms are Sc at (0.000, 0.000, 0.000), Be at (0.000, 0.000, 0.500), Zn at (0.250, 0.250, 0.750) and Ni at (0.250, 0.250, 0.250).

For the total magnetization, the calculation gives 0.00 μB per cell. The mass density comes out at 5.46 g/cm³.

Relative calculated energies, zero for the most stable structure, unit meV per atom: model w 0; model x 13; model y 26.

Model w:
Below is BeSiNi after structural relaxation, with properties calculated at the PBE level.

The structure belongs to space group F-43m (No. 216); the cell edges are 5.227, 5.227 and 5.227 Å and the angles 90.00°, 90.00° and 90.00°. The inequivalent atoms are Be at (0.000, 0.000, 0.000), Si at (0.000, 0.000, 0.500) and Ni at (0.250, 0.250, 0.250).

For the total magnetization, the calculation gives 0.00 μB per cell. The mass density comes out at 4.46 g/cm³.

Model x:
Below is BeSiNi after structural relaxation, with properties calculated at the PBE level.

The structure belongs to space group F-43m (No. 216); the cell edges are 5.141, 5.141 and 5.141 Å and the angles 90.00°, 90.00° and 90.00°. The inequivalent atoms are Be at (0.000, 0.000, 0.000), Si at (0.250, 0.250, 0.250) and Ni at (0.250, 0.250, 0.750).

For the total magnetization, the calculation gives 0.01 μB per cell. The mass density comes out at 4.68 g/cm³.

Relative calculated energies, zero for the most stable structure, unit meV per atom: model w 0; model x 118.

Model w:
Below is BeSiNi2 after structural relaxation, with properties calculated at the PBE level.

The structure belongs to space group F-43m (No. 216); the cell edges are 5.471, 5.471 and 5.471 Å and the angles 90.00°, 90.00° and 90.00°. The inequivalent atoms are Be at (0.000, 0.000, 0.000), Si at (0.250, 0.250, 0.250), Ni at (0.000, 0.000, 0.500) and Ni at (0.250, 0.250, 0.750).

For the total magnetization, the calculation gives 0.00 μB per cell. The mass density comes out at 6.27 g/cm³.

Model x:
Below is BeSiNi2 after structural relaxation, with properties calculated at the PBE level.

The structure belongs to space group P6_3/mmc (No. 194); the cell edges are 3.8102, 3.8102 and 7.0362 Å and the angles 90.00°, 90.00° and 120.00°. The inequivalent atoms are Be at (0.3333, 0.6667, 0.2500), Si at (0.0000, 0.0000, 0.0000) and Ni at (0.3333, 0.6667, 0.5827).

For the total magnetization, the calculation gives 0.01 μB per cell. The mass density comes out at 5.80 g/cm³.

Model y:
Below is BeSiNi2 after structural relaxation, with properties calculated at the PBE level.

The structure belongs to space group P6_3/mmc (No. 194); the cell edges are 3.7004, 3.7004 and 7.1523 Å and the angles 90.00°, 90.00° and 120.00°. The inequivalent atoms are Be at (0.0000, 0.0000, 0.0000), Si at (0.3333, 0.6667, 0.2500) and Ni at (0.3333, 0.6667, 0.5848).

For the total magnetization, the calculation gives 0.01 μB per cell. The mass density comes out at 6.05 g/cm³.

Relative calculated energies, zero for the most stable structure, unit meV per atom: model w 150; model x 86; model y 0.